This record from OQMD via LeMat-Bulk describes an optimized crystal structure of RbHfOs. The functional is PBE-GGA.

Properties
- SG = F-43m
- M_tot (μB/cell) = 0.00
- total DFT energy (no corrections) (eV per atom) = -6.04

a b c (Å): 4.7479 4.7479 4.7479
angles (deg): 60.00 60.00 60.00
With the nearest neighbours (Å) after each atom.
Fractional positions:
Hf 0.2500 0.2500 0.2500  4 Os 2.91
Os 0.0000 0.0000 0.0000  4 Hf 2.91, 4 Rb 2.91
Rb 0.7500 0.7500 0.7500  4 Os 2.91


This record from OQMD via LeMat-Bulk describes an optimized crystal structure of HfReOs. The functional is PBE-GGA.

Properties
- SG = F-43m
- M_tot (μB/cell) = 0.00
- total DFT energy (no corrections) (eV per atom) = -10.95
- energy relative to the elements (eV/f.u.) = 0.74

a b c (Å): 4.3441 4.3441 4.3441
angles (deg): 60.00 60.00 60.00
With the nearest neighbours (Å) after each atom.
Fractional positions:
Os 0.0000 0.0000 0.0000  4 Hf 2.66, 4 Re 2.66
Hf 0.2500 0.2500 0.2500  4 Os 2.66
Re 0.7500 0.7500 0.7500  4 Os 2.66


This record from OQMD via LeMat-Bulk describes an optimized crystal structure of HfReOs. The functional is PBE-GGA.

Properties
- SG = F-43m
- M_tot (μB/cell) = 0.13
- total DFT energy (no corrections) (eV per atom) = -10.14
- energy relative to the elements (eV/f.u.) = 3.18

a b c (Å): 4.3537 4.3537 4.3537
angles (deg): 60.00 60.00 60.00
With the nearest neighbours (Å) after each atom.
Fractional positions:
Hf 0.0000 0.0000 0.0000  4 Os 2.67, 4 Re 2.67
Os 0.2500 0.2500 0.2500  4 Hf 2.67
Re 0.7500 0.7500 0.7500  4 Hf 2.67


This record from OQMD via LeMat-Bulk describes an optimized crystal structure of HfSb2Os. The functional is PBE-GGA.

Properties
- SG = F-43m
- M_tot (μB/cell) = 0.56
- total DFT energy (no corrections) (eV per atom) = -6.99

a b c (Å): 4.8950 4.8950 4.8950
angles (deg): 60.00 60.00 60.00
With the nearest neighbours (Å) after each atom.
Fractional positions:
Os 0.5000 0.5000 0.5000  4 Hf 3.00, 4 Sb 3.00
Sb 0.0000 0.0000 0.0000  4 Hf 3.00, 4 Sb 3.00
Sb 0.7500 0.7500 0.7500  4 Sb 3.00, 4 Os 3.00
Hf 0.2500 0.2500 0.2500  4 Os 3.00, 4 Sb 3.00


This record from OQMD via LeMat-Bulk describes an optimized crystal structure of Hf3Sb4Os4. The functional is PBE-GGA.

Properties
- SG = I-42m
- M_tot (μB/cell) = 0.00
- total DFT energy (no corrections) (eV per atom) = -8.42

a b c (Å): 7.6876 7.6876 7.6876
angles (deg): 132.35 132.35 69.67
With the nearest neighbours (Å) after each atom.
Fractional positions:
Os 0.8613 0.8613 0.4787  4 Sb 2.68-2.76, 3 Hf 2.73-2.76
Os 0.1387 0.6173 0.0000  4 Sb 2.68-2.76, 3 Hf 2.73-2.76
Os 0.6173 0.1387 0.0000  4 Sb 2.68-2.76, 3 Hf 2.73-2.76
Os 0.3827 0.3827 0.5213  4 Sb 2.68-2.76, 3 Hf 2.73-2.76
Hf 0.7500 0.2500 0.5000  4 Os 2.73
Hf 0.2500 0.7500 0.5000  4 Os 2.73
Hf 0.0000 0.0000 0.0000  4 Os 2.76, 2 Sb 3.08
Sb 0.2442 0.2442 0.0000  4 Os 2.70-2.76
Sb 0.5000 0.0000 0.5000  4 Os 2.68
Sb 0.7558 0.7558 0.0000  4 Os 2.70-2.76
Sb 0.0000 0.5000 0.5000  4 Os 2.68


This record from OQMD via LeMat-Bulk describes an optimized crystal structure of Hf2Sb2Os3. The functional is PBE-GGA.

Properties
- SG = R3m
- M_tot (μB/cell) = 0.01
- total DFT energy (no corrections) (eV per atom) = -9.13

a b c (Å): 7.8077 7.8077 7.8077
angles (deg): 33.62 33.62 33.62
With the nearest neighbours (Å) after each atom.
Fractional positions:
Os 0.3721 0.3721 0.3721  4 Sb 2.71-2.73, 4 Hf 2.80-2.81
Os 0.8771 0.8771 0.8771  4 Hf 2.72-2.73, 4 Sb 2.81-2.84
Os 0.6259 0.6259 0.6259  4 Sb 2.80-2.87, 4 Hf 2.81
Hf 0.2452 0.2452 0.2452  7 Os 2.72-2.81
Hf 0.7532 0.7532 0.7532  5 Os 2.73-2.81
Sb 0.0057 0.0057 0.0057  7 Os 2.71-2.84
Sb 0.4958 0.4958 0.4958  5 Os 2.73-2.87


This record from OQMD via LeMat-Bulk describes an optimized crystal structure of HfSbOs2. The functional is PBE-GGA.

Properties
- SG = F-43m
- M_tot (μB/cell) = 0.15
- total DFT energy (no corrections) (eV per atom) = -8.70

a b c (Å): 4.6257 4.6257 4.6257
angles (deg): 60.00 60.00 60.00
With the nearest neighbours (Å) after each atom.
Fractional positions:
Os 0.7500 0.7500 0.7500  4 Os 2.83, 4 Sb 2.83
Os 0.0000 0.0000 0.0000  4 Os 2.83, 4 Hf 2.83
Hf 0.2500 0.2500 0.2500  4 Sb 2.83, 4 Os 2.83
Sb 0.5000 0.5000 0.5000  4 Os 2.83, 4 Hf 2.83


This record from OQMD via LeMat-Bulk describes an optimized crystal structure of Tm3Hf3Sb2Os. The functional is PBE-GGA.

Properties
- SG = P-62m
- M_tot (μB/cell) = 0.03
- total DFT energy (no corrections) (eV per atom) = -7.35

a b c (Å): 7.9673 7.9673 3.7982
angles (deg): 90.00 90.00 120.00
With the nearest neighbours (Å) after each atom.
Fractional positions:
Tm 0.0000 0.2503 0.5000  2 Os 2.75, 2 Sb 3.04
Tm 0.2503 0.0000 0.5000  2 Os 2.75, 2 Sb 3.04
Tm 0.7497 0.7497 0.5000  2 Os 2.75, 2 Sb 3.04
Os 0.0000 0.0000 0.0000  6 Tm 2.75
Hf 0.6107 0.0000 0.0000  1 Os 3.10, 4 Sb 3.11, 6 Tm 3.32-3.44
Hf 0.3893 0.3893 0.0000  1 Os 3.10, 4 Sb 3.11, 6 Tm 3.32-3.44
Hf 0.0000 0.6107 0.0000  1 Os 3.10, 4 Sb 3.11, 6 Tm 3.32-3.44
Sb 0.3333 0.6667 0.5000  3 Tm 3.04, 6 Hf 3.11
Sb 0.6667 0.3333 0.5000  3 Tm 3.04, 6 Hf 3.11